1.
Density functional theory data (GGA-PBE) for Sm2Ho3Cd4 after structural relaxation. Values from VASP.

```
&SYSTEM
  ibrav = 0, nat = 18, ntyp = 3
/
ATOMIC_SPECIES
Sm 150.36 Sm.upf
Cd 112.41 Cd.upf
Ho 164.93 Ho.upf
CELL_PARAMETERS angstrom
-2.1431 -6.4049 -0.5816
2.4888 -0.1267 -7.7751
9.3916 0.1722 3.0035
ATOMIC_POSITIONS crystal
Sm 0.4075 0.1003 0.8150
Sm 0.0925 0.6003 0.1850
Sm 0.5925 0.8997 0.1850
Sm 0.9075 0.3997 0.8150
Cd 0.6619 0.5157 0.3238
Cd 0.8381 0.0157 0.6762
Cd 0.1619 0.9843 0.3238
Cd 0.8250 0.2500 0.1500
Cd 0.6750 0.7500 0.8500
Cd 0.3381 0.4843 0.6762
Cd 0.1750 0.7500 0.8500
Cd 0.3250 0.2500 0.1500
Ho 0.0000 0.0000 0.0000
Ho 0.4957 0.2500 0.4913
Ho 0.0043 0.7500 0.5087
Ho 0.9957 0.2500 0.4913
Ho 0.5043 0.7500 0.5087
Ho 0.5000 0.5000 0.0000
```

Computed properties:
**Space group**: Cmce
**Formation energy from the elements**: -160 meV per atom
**Total moment**: 0.000 μB/cell
**Calculated total energy**: -3.14 eV/atom

2.
Density functional theory data (GGA-PBE) for ThZnPdRh after structural relaxation. Values from VASP.

```
&SYSTEM
  ibrav = 0, nat = 4, ntyp = 4
/
ATOMIC_SPECIES
Th 232.04 Th.upf
Zn 65.41 Zn.upf
Rh 102.91 Rh.upf
Pd 106.42 Pd.upf
CELL_PARAMETERS angstrom
-0.5647 1.8152 4.3867
-1.1563 -2.8705 3.6442
3.2140 -0.9461 3.4106
ATOMIC_POSITIONS crystal
Th 0.5000 0.5000 0.5000
Zn 0.0000 0.0000 0.0000
Rh 0.7500 0.7500 0.7500
Pd 0.2500 0.2500 0.2500
```

Computed properties:
**Space group**: F-43m
**Formation energy from the elements**: -623 meV per atom
**E above lowest polymorph**: 0.458 eV/f.u.
**Total moment**: 0.000 μB/cell
**Calculated total energy**: -5.93 eV/atom

3.
Density functional theory data (GGA-PBE) for CsHfS3 after structural relaxation. Values from VASP.

```
&SYSTEM
  ibrav = 0, nat = 5, ntyp = 3
/
ATOMIC_SPECIES
S 32.06 S.upf
Hf 178.49 Hf.upf
Cs 132.91 Cs.upf
CELL_PARAMETERS angstrom
-6.9856 -0.2941 0.6080
-0.6206 2.6536 6.4674
-1.5002 6.6392 -1.7103
ATOMIC_POSITIONS crystal
S 0.8765 0.8765 0.4801
S 0.4801 0.8765 0.8765
S 0.8765 0.4801 0.8765
Hf 0.6751 0.6751 0.6751
Cs 0.9668 0.9668 0.9668
```

Computed properties:
**Space group**: R3m
**Uncorrected formation energy**: -0.653 eV/atom
**E above lowest polymorph**: 3.719 eV/f.u.
**Total moment**: 1.000 μB/cell
**Calculated total energy**: -5.29 eV/atom

4.
Density functional theory data (GGA-PBE) for NpUAs after structural relaxation. Values from VASP.

```
&SYSTEM
  ibrav = 0, nat = 3, ntyp = 3
/
ATOMIC_SPECIES
Np 237.00 Np.upf
As 74.92 As.upf
U 238.03 U.upf
CELL_PARAMETERS angstrom
3.2673 0.0000 0.0000
0.0000 4.5816 0.0000
0.0000 -2.2908 3.9678
ATOMIC_POSITIONS crystal
Np 0.0558 0.0000 0.0000
As 0.6865 0.3333 0.6667
U 0.2578 0.6667 0.3333
```

Computed properties:
**Space group**: P3m1
**Formation energy from the elements**: -62 meV per atom
**E above lowest polymorph**: 1.728 eV/f.u.
**Total moment**: 4.601 μB/cell
**Calculated total energy**: -9.69 eV/atom

5.
Density functional theory data (GGA-PBE) for HPd4Au2 after structural relaxation. Values from VASP.

```
&SYSTEM
  ibrav = 0, nat = 7, ntyp = 3
/
ATOMIC_SPECIES
H 1.01 H.upf
Pd 106.42 Pd.upf
Au 196.97 Au.upf
CELL_PARAMETERS angstrom
-0.7951 0.1232 -2.7429
-0.3023 -2.4346 1.4677
-13.1553 4.0304 3.9946
ATOMIC_POSITIONS crystal
H 0.6649 0.3297 0.6419
Pd 0.6681 0.3361 0.7634
Pd 0.0009 0.0018 0.2525
Pd 0.3322 0.6644 0.5842
Pd 0.0009 0.0018 0.9224
Au 0.6678 0.3356 0.0871
Au 0.6667 0.3334 0.4165
```

Computed properties:
**Space group**: Cm
**E above lowest polymorph**: 0.104 eV/f.u.
**Total moment**: 0.000 μB/cell
**Calculated total energy**: -4.43 eV/atom

6.
Density functional theory data (GGA-PBE) for Cd3RhI after structural relaxation. Values from VASP.

```
&SYSTEM
  ibrav = 0, nat = 5, ntyp = 3
/
ATOMIC_SPECIES
Cd 112.41 Cd.upf
I 126.90 I.upf
Rh 102.91 Rh.upf
CELL_PARAMETERS angstrom
5.2659 0.0000 0.0000
0.0000 5.2659 0.0000
0.0000 0.0000 5.2659
ATOMIC_POSITIONS crystal
Cd 0.5000 0.0000 0.0000
Cd 0.0000 0.5000 0.0000
Cd 0.0000 0.0000 0.5000
I 0.5000 0.5000 0.5000
Rh 0.0000 0.0000 0.0000
```

Computed properties:
**Space group**: Pm-3m
**Uncorrected formation energy**: 0.121 eV/atom
**E above lowest polymorph**: 0.000 eV/f.u.
**Total moment**: 0.000 μB/cell
**Calculated total energy**: -2.21 eV/atom

7.
Density functional theory data (GGA-PBE) for RePH2Pt after structural relaxation. Values from VASP.

```
&SYSTEM
  ibrav = 0, nat = 5, ntyp = 4
/
ATOMIC_SPECIES
H 1.01 H.upf
Re 186.21 Re.upf
Pt 195.08 Pt.upf
P 30.97 P.upf
CELL_PARAMETERS angstrom
-2.0419 1.3593 2.5549
3.1241 -1.8733 3.4936
1.8892 2.9948 -0.0835
ATOMIC_POSITIONS crystal
H 0.5000 0.0000 0.0000
H 0.0000 0.0000 0.5000
Re 0.0000 0.5000 0.0000
Pt 0.5000 0.5000 0.5000
P 0.0000 0.0000 0.0000
```

Computed properties:
**Space group**: P4/mmm
**Total moment**: 0.000 μB/cell
**Calculated total energy**: -5.39 eV/atom

8.
Density functional theory data (GGA-PBE) for K2BaCa after structural relaxation. Values from VASP.

```
&SYSTEM
  ibrav = 0, nat = 4, ntyp = 3
/
ATOMIC_SPECIES
K 39.10 K.upf
Ba 137.33 Ba.upf
Ca 40.08 Ca.upf
CELL_PARAMETERS angstrom
0.0000 4.9392 4.9392
4.9392 0.0000 4.9392
4.9392 4.9392 0.0000
ATOMIC_POSITIONS crystal
K 0.7500 0.7500 0.7500
K 0.2500 0.2500 0.2500
Ba 0.5000 0.5000 0.5000
Ca 0.0000 0.0000 0.0000
```

Computed properties:
**Space group**: Fm-3m
**Formation energy from the elements**: 193 meV per atom
**E above lowest polymorph**: 0.430 eV/f.u.
**Total moment**: 0.000 μB/cell
**Calculated total energy**: -1.34 eV/atom

9.
Density functional theory data (GGA-PBE) for La2Pr3SmEr6 after structural relaxation. Values from VASP.

```
&SYSTEM
  ibrav = 0, nat = 12, ntyp = 4
/
ATOMIC_SPECIES
La 138.91 La.upf
Er 167.26 Er.upf
Pr 140.91 Pr.upf
Sm 150.36 Sm.upf
CELL_PARAMETERS angstrom
-0.1454 2.5690 -5.7233
-5.2267 -0.2373 3.4645
4.3595 9.5939 5.3414
ATOMIC_POSITIONS crystal
La 0.3336 0.6664 0.0000
La 0.6664 0.3336 0.0000
Er 0.9165 0.5840 0.7496
Er 0.7510 0.7510 0.2506
Er 0.4160 0.0835 0.2504
Er 0.0835 0.4160 0.2504
Er 0.5840 0.9165 0.7496
Er 0.2490 0.2490 0.7494
Pr 0.8334 0.1666 0.5000
Pr 0.5000 0.5000 0.5000
Pr 0.1666 0.8334 0.5000
Sm 0.0000 0.0000 0.0000
```

Computed properties:
**Space group**: C2/m
**Formation energy from the elements**: 15 meV per atom
**Total moment**: 0.003 μB/cell
**Calculated total energy**: -4.68 eV/atom

10.
Density functional theory data (GGA-PBE) for Ca2AcPtO6 after structural relaxation. Values from VASP.

```
&SYSTEM
  ibrav = 0, nat = 20, ntyp = 4
/
ATOMIC_SPECIES
O 16.00 O.upf
Ca 40.08 Ca.upf
Pt 195.08 Pt.upf
Ac 227.00 Ac.upf
CELL_PARAMETERS angstrom
5.6956 0.0000 0.0114
0.0000 6.1413 0.0000
0.0649 0.0000 8.3628
ATOMIC_POSITIONS crystal
O 0.6617 0.2661 0.5958
O 0.8767 0.5951 0.2187
O 0.7008 0.3361 0.9665
O 0.7992 0.8361 0.5335
O 0.3383 0.7339 0.4042
O 0.2008 0.1639 0.4665
O 0.8383 0.7661 0.9042
O 0.6233 0.0951 0.2813
O 0.2992 0.6639 0.0335
O 0.3767 0.9049 0.7187
O 0.1617 0.2339 0.0958
O 0.1233 0.4049 0.7813
Ca 0.0064 0.9579 0.2758
Ca 0.5064 0.5421 0.7758
Ca 0.9936 0.0421 0.7242
Ca 0.4936 0.4579 0.2242
Pt 0.0000 0.5000 0.0000
Pt 0.5000 0.0000 0.5000
Ac 0.5000 0.0000 0.0000
Ac 0.0000 0.5000 0.5000
```

Computed properties:
**Space group**: P2_1/c
**Uncorrected formation energy**: -2.144 eV/atom
**Total moment**: 1.973 μB/cell
**Calculated total energy**: -6.53 eV/atom

11.
Density functional theory data (GGA-PBE) for BaCa2Au2 after structural relaxation. Values from VASP.

```
&SYSTEM
  ibrav = 0, nat = 10, ntyp = 3
/
ATOMIC_SPECIES
Au 196.97 Au.upf
Ba 137.33 Ba.upf
Ca 40.08 Ca.upf
CELL_PARAMETERS angstrom
8.8874 0.0000 0.0000
0.0000 8.8874 0.0000
0.0000 0.0000 3.5863
ATOMIC_POSITIONS crystal
Au 0.8363 0.3363 0.5000
Au 0.6637 0.8363 0.5000
Au 0.3363 0.1637 0.5000
Au 0.1637 0.6637 0.5000
Ba 0.0000 0.0000 0.0000
Ba 0.5000 0.5000 0.0000
Ca 0.6304 0.1304 0.0000
Ca 0.3696 0.8696 0.0000
Ca 0.8696 0.6304 0.0000
Ca 0.1304 0.3696 0.0000
```

Computed properties:
**Space group**: P4/mbm
**Formation energy from the elements**: -528 meV per atom
**E above lowest polymorph**: 0.569 eV/f.u.
**Total moment**: 0.000 μB/cell
**Calculated total energy**: -3.02 eV/atom

12.
Density functional theory data (GGA-PBE) for Ga3CuSe4 after structural relaxation. Values from VASP.

```
&SYSTEM
  ibrav = 0, nat = 8, ntyp = 3
/
ATOMIC_SPECIES
Se 78.96 Se.upf
Cu 63.55 Cu.upf
Ga 69.72 Ga.upf
CELL_PARAMETERS angstrom
-3.6570 4.2551 -1.5096
-4.2202 -3.9119 -0.8028
2.2451 0.4525 7.0177
ATOMIC_POSITIONS crystal
Se 0.3597 0.3597 0.2597
Se 0.1000 0.6403 0.7403
Se 0.9000 0.9000 0.2597
Se 0.6403 0.1000 0.7403
Cu 0.0000 0.0000 0.0000
Ga 0.2500 0.7500 0.5000
Ga 0.5000 0.5000 0.0000
Ga 0.7500 0.2500 0.5000
```

Computed properties:
**Space group**: I-42m
**Uncorrected formation energy**: -0.344 eV/atom
**Total moment**: 0.000 μB/cell
**Calculated total energy**: -3.73 eV/atom

13.
Density functional theory data (GGA-PBE) for Pr4Nd4In after structural relaxation. Values from VASP.

```
&SYSTEM
  ibrav = 0, nat = 9, ntyp = 3
/
ATOMIC_SPECIES
Pr 140.91 Pr.upf
In 114.82 In.upf
Nd 144.24 Nd.upf
CELL_PARAMETERS angstrom
-3.7527 2.2810 -2.5336
-6.7554 -0.3720 4.5981
0.0065 7.9198 2.0478
ATOMIC_POSITIONS crystal
Pr 0.6607 0.0000 0.6785
Pr 0.6607 0.6785 0.0000
Pr 0.3393 0.3215 0.0000
Pr 0.3393 0.0000 0.3215
In 0.0000 0.0000 0.0000
Nd 0.9999 0.6678 0.3323
Nd 0.6678 0.3323 0.3322
Nd 0.0001 0.3322 0.6677
Nd 0.3322 0.6677 0.6678
```

Computed properties:
**Space group**: I4/mmm
**Formation energy from the elements**: -72 meV per atom
**Total moment**: 0.000 μB/cell
**Calculated total energy**: -4.62 eV/atom

14.
Density functional theory data (GGA-PBE) for GdThZn after structural relaxation. Values from VASP.

```
&SYSTEM
  ibrav = 0, nat = 3, ntyp = 3
/
ATOMIC_SPECIES
Gd 157.25 Gd.upf
Zn 65.41 Zn.upf
Th 232.04 Th.upf
CELL_PARAMETERS angstrom
-1.2610 -0.9676 3.2603
-2.4005 -2.2099 -1.5843
5.9453 -3.0374 -0.6195
ATOMIC_POSITIONS crystal
Gd 0.0197 0.0197 0.0395
Zn 0.6628 0.6628 0.3255
Th 0.3175 0.3175 0.6350
```

Computed properties:
**Space group**: I4mm
**Formation energy from the elements**: -133 meV per atom
**E above lowest polymorph**: 0.000 eV/f.u.
**Total moment**: 7.205 μB/cell
**Calculated total energy**: -7.72 eV/atom

15.
Density functional theory data (GGA-PBE) for KSrNi4 after structural relaxation. Values from VASP.

```
&SYSTEM
  ibrav = 0, nat = 6, ntyp = 3
/
ATOMIC_SPECIES
K 39.10 K.upf
Sr 87.62 Sr.upf
Ni 58.69 Ni.upf
CELL_PARAMETERS angstrom
2.6473 -4.1023 1.9086
1.8733 0.1366 4.8940
-2.1509 -3.0090 3.7147
ATOMIC_POSITIONS crystal
K 0.0000 0.0000 0.0000
Sr 0.7500 0.7500 0.7500
Ni 0.8734 0.3755 0.3755
Ni 0.3755 0.8734 0.3755
Ni 0.3755 0.3755 0.3755
Ni 0.3755 0.3755 0.8734
```

Computed properties:
**Space group**: F-43m
**Formation energy from the elements**: 277 meV per atom
**Total moment**: 0.674 μB/cell
**Calculated total energy**: -4.04 eV/atom

16.
Density functional theory data (GGA-PBE) for BaPbC3 after structural relaxation. Values from VASP.

```
&SYSTEM
  ibrav = 0, nat = 5, ntyp = 3
/
ATOMIC_SPECIES
C 12.01 C.upf
Ba 137.33 Ba.upf
Pb 207.20 Pb.upf
CELL_PARAMETERS angstrom
-4.4236 0.1168 -1.9129
-0.5389 -4.6936 0.9597
-1.8391 1.0945 4.3198
ATOMIC_POSITIONS crystal
C 0.0000 0.5000 0.0000
C 0.5000 0.0000 0.0000
C 0.0000 0.0000 0.5000
Ba 0.0000 0.0000 0.0000
Pb 0.5000 0.5000 0.5000
```

Computed properties:
**Space group**: Pm-3m
**Formation energy from the elements**: 3213 meV per atom
**E above lowest polymorph**: 4.179 eV/f.u.
**Total moment**: 1.924 μB/cell
**Calculated total energy**: -3.45 eV/atom

17.
Density functional theory data (GGA-PBE) for Tb3Pm2Se4 after structural relaxation. Values from VASP.

```
&SYSTEM
  ibrav = 0, nat = 9, ntyp = 3
/
ATOMIC_SPECIES
Se 78.96 Se.upf
Pm 145.00 Pm.upf
Tb 158.93 Tb.upf
CELL_PARAMETERS angstrom
-4.0245 -0.0820 -0.4334
1.6516 -0.5068 3.6616
-0.6211 16.7261 2.5940
ATOMIC_POSITIONS crystal
Se 0.0006 0.9994 0.6857
Se 0.6665 0.3335 0.1000
Se 0.3335 0.6665 0.9000
Se 0.9994 0.0006 0.3143
Pm 0.6671 0.3329 0.7916
Pm 0.3329 0.6671 0.2084
Tb 0.0000 0.0000 0.0000
Tb 0.3339 0.6661 0.5843
Tb 0.6661 0.3339 0.4157
```

Computed properties:
**Space group**: C2/m
**Uncorrected formation energy**: -1.575 eV/atom
**Total moment**: 0.392 μB/cell
**Calculated total energy**: -5.72 eV/atom

18.
Density functional theory data (GGA-PBE) for RbLa2BH after structural relaxation. Values from VASP.

```
&SYSTEM
  ibrav = 0, nat = 5, ntyp = 4
/
ATOMIC_SPECIES
Rb 85.47 Rb.upf
B 10.81 B.upf
La 138.91 La.upf
H 1.01 H.upf
CELL_PARAMETERS angstrom
-4.8197 2.1151 2.1006
1.1284 -1.4521 4.0512
2.6115 4.9214 1.0366
ATOMIC_POSITIONS crystal
Rb 0.0000 0.0000 0.0000
B 0.0000 0.5000 0.0000
La 0.0000 0.0000 0.5000
La 0.5000 0.0000 0.0000
H 0.5000 0.5000 0.5000
```

Computed properties:
**Space group**: P4/mmm
**Total moment**: 0.000 μB/cell
**Calculated total energy**: -2.31 eV/atom

19.
Density functional theory data (GGA-PBE) for NaSmDy after structural relaxation. Values from VASP.

```
&SYSTEM
  ibrav = 0, nat = 3, ntyp = 3
/
ATOMIC_SPECIES
Dy 162.50 Dy.upf
Sm 150.36 Sm.upf
Na 22.99 Na.upf
CELL_PARAMETERS angstrom
3.5677 0.0000 0.0000
-1.7839 3.0897 0.0000
0.0000 0.0000 9.1971
ATOMIC_POSITIONS crystal
Dy 0.6667 0.3333 0.3484
Sm 0.3333 0.6667 0.6499
Na 0.0000 0.0000 0.0017
```

Computed properties:
**Space group**: P3m1
**Formation energy from the elements**: 128 meV per atom
**E above lowest polymorph**: 0.017 eV/f.u.
**Total moment**: 0.000 μB/cell
**Calculated total energy**: -3.42 eV/atom

20.
Density functional theory data (GGA-PBE) for Nb2CuCl after structural relaxation. Values from VASP.

```
&SYSTEM
  ibrav = 0, nat = 4, ntyp = 3
/
ATOMIC_SPECIES
Cu 63.55 Cu.upf
Cl 35.45 Cl.upf
Nb 92.91 Nb.upf
CELL_PARAMETERS angstrom
-0.1031 -4.4066 -0.6967
-3.5578 -1.8697 -1.9390
0.3097 -1.6106 -4.1502
ATOMIC_POSITIONS crystal
Cu 0.5000 0.5000 0.5000
Cl 0.0000 0.0000 0.0000
Nb 0.2500 0.2500 0.2500
Nb 0.7500 0.7500 0.7500
```

Computed properties:
**Space group**: Fm-3m
**Uncorrected formation energy**: 0.381 eV/atom
**E above lowest polymorph**: 0.000 eV/f.u.
**Total moment**: 0.000 μB/cell
**Calculated total energy**: -6.14 eV/atom